Computed, not measured: crystalline Rb2LiCe2Se6 at its relaxed geometry at the GGA-PBE level of DFT.

Calculated values
Crystal system   monoclinic
Size of the total moment   0.01 μB per cell
Total DFT energy (no corrections)   -0.3429 Ry per atom
Raw formation energy   -1335 meV/atom
V   34.28 A^3/atom

CIF file:
```
data_Rb2LiCe2Se6
_space_group_name_H-M_alt 'P 1'
_space_group_IT_number 1
_cell_length_a 7.340
_cell_length_b 7.340
_cell_length_c 8.444
_cell_angle_alpha 97.78
_cell_angle_beta 97.78
_cell_angle_gamma 120.50
loop_
_space_group_symop_operation_xyz
'x,y,z'
loop_
_atom_site_label
_atom_site_fract_x
_atom_site_fract_y
_atom_site_fract_z
_atom_site_occupancy
Rb1 0.161 0.839 0.000 1
Rb2 0.839 0.161 0.000 1
Li1 0.000 0.000 0.500 1
Ce1 0.334 0.666 0.500 1
Ce2 0.666 0.334 0.500 1
Se1 0.060 0.405 0.690 1
Se2 0.276 0.276 0.313 1
Se3 0.405 0.060 0.690 1
Se4 0.595 0.940 0.310 1
Se5 0.724 0.724 0.687 1
Se6 0.940 0.595 0.310 1
```